A plane-wave DFT calculation with PBE was carried out for a relaxed structure of Y2CrReW.

Geometry as CIF:
```
data_Y2CrReW
_symmetry_space_group_name_H-M 'P 4/m m m'
_symmetry_Int_Tables_number 123
_symmetry_space_group_name_Hall '-P 4 2'
_cell_length_a 5.371
_cell_length_b 5.371
_cell_length_c 4.724
_cell_angle_alpha 90.00
_cell_angle_beta 90.00
_cell_angle_gamma 90.00
loop_
_atom_site_label
_atom_site_type_symbol
_atom_site_fract_x
_atom_site_fract_y
_atom_site_fract_z
Y1 Y 0.000 0.500 0.000
Cr1 Cr 0.000 0.000 0.500
Re1 Re 0.500 0.500 0.000
W1 W 0.500 0.500 0.500
```

## Properties
VASP energy   -40.4 eV/cell
Formation energy from the elements   1.519 eV per atom
DOS at the Fermi energy   2.06 states/eV per atom
Total magnetization   0.06 μB/f.u.